Record 1
# HoNbTl2O6

HoNbTl2O6 after structural relaxation (PBE, Alexandria via LeMat-Bulk).

Cell: 6.003 6.003 6.003 Å, 60.00 60.00 60.00°
Each line ends with the local moment (μB).
Positions (direct):
Tl 0.250 0.250 0.250  0.04
Tl 0.750 0.750 0.750  0.04
O 0.263 0.737 0.263  0.11
O 0.737 0.263 0.737  0.11
O 0.263 0.737 0.737  0.11
O 0.737 0.737 0.263  0.11
O 0.737 0.263 0.263  0.11
O 0.263 0.263 0.737  0.11
Ho 0.000 0.000 0.000  -0.01
Nb 0.500 0.500 0.500  -0.04

Properties
space-group type: Fm-3m, No. 225
ΔE_f (raw): -1875 meV per atom

***

Record 2
# HoNbOs4

HoNbOs4 after structural relaxation (PBE, Alexandria via LeMat-Bulk).

Cell: 5.250 5.250 5.250 Å, 60.00 60.00 60.00°
Positions (direct):
Os 0.625 0.625 0.124
Os 0.625 0.124 0.625
Os 0.625 0.625 0.625
Os 0.124 0.625 0.625
Nb 0.250 0.250 0.250
Ho 0.000 0.000 0.000

Properties
space-group type: F-43m, No. 216
formation energy: -0.103 eV per atom

***

Record 3
# HoNbOs

HoNbOs after structural relaxation (PBE, Alexandria via LeMat-Bulk).

Cell: 6.807 8.210 8.210 Å, 68.05 65.51 65.51°
Positions (direct):
Os 0.923 0.833 0.833
Os 0.257 0.750 0.250
Os 0.923 0.333 0.333
Os 0.590 0.667 0.667
Os 0.590 0.167 0.167
Os 0.257 0.250 0.750
Nb 0.009 0.624 0.624
Nb 0.505 0.500 0.500
Nb 0.009 0.124 0.124
Nb 0.257 0.876 0.876
Nb 0.505 0.000 0.000
Nb 0.257 0.376 0.376
Ho 0.832 0.250 0.750
Ho 0.682 0.538 0.038
Ho 0.257 0.962 0.462
Ho 0.682 0.038 0.538
Ho 0.257 0.462 0.962
Ho 0.832 0.750 0.250

Properties
space-group type: P-62m, No. 189
formation energy: -0.202 eV per atom

***

Record 4
# HoNbOsRu

HoNbOsRu after structural relaxation (PBE, Alexandria via LeMat-Bulk).

Cell: 4.629 4.629 4.629 Å, 60.00 60.00 60.00°
Positions (direct):
Os 0.250 0.250 0.250
Nb 0.000 0.000 0.000
Ho 0.500 0.500 0.500
Ru 0.750 0.750 0.750

Properties
space-group type: F-43m, No. 216
formation energy: -0.258 eV per atom

***

Record 5
# HoTaNbOs2

HoTaNbOs2 after structural relaxation (PBE, Alexandria via LeMat-Bulk).

Cell: 4.381 4.381 6.182 Å, 110.75 110.75 90.00°
Positions (direct):
Nb 0.750 0.250 0.500
Os 0.382 0.382 0.764
Os 0.618 0.618 0.236
Ho 0.000 0.000 0.000
Ta 0.250 0.750 0.500

Properties
space-group type: I-4m2, No. 119
formation energy: -0.280 eV per atom

***

Record 6
# HoNbP2

HoNbP2 after structural relaxation (PBE, Alexandria via LeMat-Bulk).

Cell: 3.672 3.672 6.831 Å, 74.41 74.41 60.00°
Positions (direct):
P 0.091 0.091 0.726
P 0.241 0.241 0.277
Ho 0.672 0.672 0.985
Nb 0.496 0.496 0.512

Properties
space-group type: R3m, No. 160
formation energy: -1.193 eV per atom

***

Record 7
# HoNbP2

HoNbP2 after structural relaxation (PBE, Alexandria via LeMat-Bulk).

Cell: 3.738 3.738 6.596 Å, 73.54 73.54 60.00°
Positions (direct):
Ho 0.500 0.500 0.500
P 0.742 0.742 0.773
P 0.258 0.258 0.227
Nb 0.000 0.000 0.000

Properties
space-group type: R-3m, No. 166
formation energy: -1.122 eV per atom

***

Record 8
# Ho3NbP2Rh9

Ho3NbP2Rh9 after structural relaxation (PBE, Alexandria via LeMat-Bulk).

Cell: 5.901 5.901 9.230 Å, 90.00 90.00 120.00°
Positions (direct):
Rh 0.160 0.320 0.296
Rh 0.160 0.840 0.296
Rh 0.840 0.160 0.704
Rh 0.320 0.160 0.704
Rh 0.840 0.680 0.704
Rh 0.680 0.840 0.296
Rh 0.500 0.000 0.000
Rh 0.500 0.500 0.000
Rh 0.000 0.500 0.000
Ho 0.667 0.333 0.381
Ho 0.333 0.667 0.619
Ho 0.000 0.000 0.000
Nb 0.000 0.000 0.500
P 0.667 0.333 0.845
P 0.333 0.667 0.155

Properties
space-group type: P-3m1, No. 164
formation energy: -0.575 eV per atom

***

Record 9
# Ho2PaNb

Ho2PaNb after structural relaxation (PBE, Alexandria via LeMat-Bulk).

Cell: 3.224 3.224 11.587 Å, 82.00 82.00 60.00°
Each line ends with the local moment (μB).
Positions (direct):
Nb 0.000 0.000 0.000  -0.51
Ho 0.915 0.915 0.255  -0.07
Ho 0.085 0.085 0.745  -0.07
Pa 0.500 0.500 0.500  -0.01

Properties
space-group type: R-3m, No. 166
formation energy: 0.518 eV per atom

***

Record 10
# HoPa2Nb

HoPa2Nb after structural relaxation (PBE, Alexandria via LeMat-Bulk).

Cell: 5.028 5.028 5.365 Å, 62.06 62.06 60.00°
Positions (direct):
Pa 0.756 0.756 0.732
Pa 0.244 0.244 0.268
Ho 0.000 0.000 0.000
Nb 0.500 0.500 0.500

Properties
space-group type: R-3m, No. 166
formation energy: 0.442 eV per atom

***

Record 11
# HoPaNb4

HoPaNb4 after structural relaxation (PBE, Alexandria via LeMat-Bulk).

Cell: 5.677 5.677 5.677 Å, 60.00 60.00 60.00°
Positions (direct):
Ho 0.000 0.000 0.000
Nb 0.624 0.624 0.127
Nb 0.624 0.624 0.624
Nb 0.127 0.624 0.624
Nb 0.624 0.127 0.624
Pa 0.250 0.250 0.250

Properties
space-group type: F-43m, No. 216
formation energy: 0.144 eV per atom

***

Record 12
# HoPa2Nb

HoPa2Nb after structural relaxation (PBE, Alexandria via LeMat-Bulk).

Cell: 3.457 3.457 8.412 Å, 90.00 90.00 90.00°
Positions (direct):
Nb 0.500 0.500 0.000
Ho 0.500 0.500 0.500
Pa 0.000 0.000 0.215
Pa 0.000 0.000 0.785

Properties
space-group type: P4/mmm, No. 123
formation energy: 0.258 eV per atom

***

Record 13
# HoNbPb

HoNbPb after structural relaxation (PBE, Alexandria via LeMat-Bulk).

Cell: 3.595 3.595 11.426 Å, 90.00 90.00 90.00°
Positions (direct):
Ho 0.000 0.500 0.893
Ho 0.500 0.000 0.107
Pb 0.500 0.000 0.708
Pb 0.000 0.500 0.292
Nb 0.000 0.500 0.558
Nb 0.500 0.000 0.442

Properties
space-group type: P4/nmm, No. 129
formation energy: -0.083 eV per atom

***

Record 14
# HoNb2Pd9

HoNb2Pd9 after structural relaxation (PBE, Alexandria via LeMat-Bulk).

Cell: 4.017 4.017 12.100 Å, 90.00 90.00 90.00°
Each line ends with the local moment (μB).
Positions (direct):
Pd 0.500 0.500 0.000  0.01
Pd 0.000 0.500 0.823  0.03
Pd 0.500 0.000 0.500  0.04
Pd 0.000 0.500 0.177  0.03
Pd 0.000 0.500 0.500  0.04
Pd 0.500 0.000 0.823  0.03
Pd 0.500 0.500 0.661  0.02
Pd 0.500 0.000 0.177  0.03
Pd 0.500 0.500 0.339  0.02
Nb 0.000 0.000 0.666  0.44
Nb 0.000 0.000 0.334  0.44
Ho 0.000 0.000 0.000  0.00

Properties
space-group type: P4/mmm, No. 123
formation energy: -0.529 eV per atom

***

Record 15
# HoNbPd6

HoNbPd6 after structural relaxation (PBE, Alexandria via LeMat-Bulk).

Cell: 4.034 4.034 8.111 Å, 90.00 90.00 90.00°
Positions (direct):
Pd 0.000 0.500 0.263
Pd 0.500 0.500 0.500
Pd 0.500 0.500 0.000
Pd 0.500 0.000 0.263
Pd 0.000 0.500 0.737
Pd 0.500 0.000 0.737
Nb 0.000 0.000 0.500
Ho 0.000 0.000 0.000

Properties
space-group type: P4/mmm, No. 123
formation energy: -0.657 eV per atom

***

Record 16
# HoNbPdRu

HoNbPdRu after structural relaxation (PBE, Alexandria via LeMat-Bulk).

Cell: 4.685 4.685 4.685 Å, 60.00 60.00 60.00°
Positions (direct):
Nb 0.500 0.500 0.500
Ru 0.750 0.750 0.750
Ho 0.000 0.000 0.000
Pd 0.250 0.250 0.250

Properties
space-group type: F-43m, No. 216
formation energy: -0.315 eV per atom

***

Record 17
# PmHoNb

PmHoNb after structural relaxation (PBE, Alexandria via LeMat-Bulk).

Cell: 3.447 3.447 15.956 Å, 96.11 96.11 59.86°
Positions (direct):
Nb 0.729 0.729 0.211
Nb 0.024 0.024 0.096
Ho 0.447 0.447 0.365
Ho 0.306 0.306 0.942
Pm 0.178 0.178 0.557
Pm 0.576 0.576 0.750

Properties
space-group type: C2/m, No. 12
formation energy: 0.222 eV per atom

***

Record 18
# Pr2HoNb

Pr2HoNb after structural relaxation (PBE, Alexandria via LeMat-Bulk).

Cell: 3.374 3.374 11.999 Å, 81.92 81.92 60.00°
Positions (direct):
Pr 0.917 0.917 0.248
Pr 0.083 0.083 0.752
Nb 0.000 0.000 0.000
Ho 0.500 0.500 0.500

Properties
space-group type: R-3m, No. 166
formation energy: 0.591 eV per atom

***

Record 19
# PrHo2Nb

PrHo2Nb after structural relaxation (PBE, Alexandria via LeMat-Bulk).

Cell: 3.322 3.322 11.938 Å, 82.00 82.00 60.00°
Each line ends with the local moment (μB).
Positions (direct):
Ho 0.918 0.918 0.245  0.06
Ho 0.082 0.082 0.755  0.06
Nb 0.000 0.000 0.000  0.38
Pr 0.500 0.500 0.500  0.01

Properties
space-group type: R-3m, No. 166
formation energy: 0.562 eV per atom

***

Record 20
# HoNbPt2

HoNbPt2 after structural relaxation (PBE, Alexandria via LeMat-Bulk).

Cell: 3.182 3.182 7.434 Å, 90.00 90.00 90.00°
Positions (direct):
Nb 0.500 0.500 0.000
Pt 0.000 0.000 0.774
Pt 0.000 0.000 0.226
Ho 0.500 0.500 0.500

Properties
space-group type: P4/mmm, No. 123
formation energy: -0.742 eV per atom